Here is Er5Bi5C after structural relaxation from Alexandria. Energies are from GGA-PBE.

POSCAR file:
```
Er5Bi5C
1.0
-2.155 4.985 -2.579
-4.483 -3.272 4.431
6.403 4.973 4.261
Er Bi C
5 5 1
Direct
0.855 0.710 0.101 Er
0.849 0.698 0.725 Er
0.500 0.000 0.000 Er
0.151 0.302 0.275 Er
0.145 0.290 0.899 Er
0.715 0.431 0.336 Bi
0.614 0.227 0.762 Bi
0.000 0.000 0.500 Bi
0.386 0.773 0.238 Bi
0.285 0.569 0.664 Bi
0.000 0.000 0.000 C
```

Computed properties:
- uncorrected energy (eV/atom) = -5.133
- ρ (g/cm³) = 9.90
- ΔE_f (kJ per mole of atoms) = -44.1
- D(E_F) (states/eV per cell) = 4.13
- size of the total moment (μB per atom) = 0.000



Here is SrP2Ru after structural relaxation from Alexandria. Energies are from GGA-PBE.

POSCAR file:
```
SrP2Ru
1.0
5.792 -0.038 -0.024
4.379 3.791 -0.024
4.379 1.616 3.429
P Ru Sr
2 1 1
Direct
0.958 0.958 0.958 P
0.542 0.542 0.542 P
0.250 0.250 0.250 Ru
0.750 0.750 0.750 Sr
```

Computed properties:
- uncorrected energy (eV/atom) = -6.135
- ρ (g/cm³) = 5.45
- ΔE to the lowest computed polymorph (meV per atom) = 0.0
- ΔE_f (kJ per mole of atoms) = -66.6
- D(E_F) (states/eV per cell) = 1.91
- size of the total moment (μB per atom) = 0.000



Here is LaPm6Ga2 after structural relaxation from Alexandria. Energies are from GGA-PBE.

POSCAR file:
```
LaPm6Ga2
1.0
-2.413 0.939 2.781
-0.479 -5.341 3.983
7.772 2.251 8.578
La Pm Ga
1 6 2
Direct
0.000 0.000 0.000 La
0.693 0.486 0.127 Pm
0.307 0.514 0.873 Pm
0.314 0.786 0.586 Pm
0.976 0.725 0.324 Pm
0.024 0.275 0.676 Pm
0.686 0.214 0.414 Pm
0.347 0.094 0.211 Ga
0.653 0.906 0.789 Ga
```

Computed properties:
- uncorrected energy (eV/atom) = -4.625
- ρ (g/cm³) = 6.87
- ΔE_f (kJ per mole of atoms) = -23.0
- D(E_F) (states/eV per cell) = 9.80
- size of the total moment (μB per atom) = 0.000



Here is NiTeIrN2 after structural relaxation from Alexandria. Energies are from GGA-PBE.

POSCAR file:
```
NiTeIrN2
1.0
3.733 0.000 0.000
0.000 3.733 0.000
0.000 0.000 6.093
Ni Ir Te N
1 1 1 2
Direct
0.500 0.500 0.500 Ni
0.000 0.000 0.000 Ir
0.000 0.000 0.500 Te
0.000 0.500 0.000 N
0.500 0.000 0.000 N
```

Computed properties:
- uncorrected energy (eV/atom) = -6.024
- formation energy from raw total energies (eV per atom) = 0.863
- ρ (g/cm³) = 7.95
- ΔE to the lowest computed polymorph (meV per atom) = 0.0
- D(E_F) (states/eV per cell) = 4.01
- size of the total moment (μB per atom) = 0.068



Here is Mg2Ag5Hg after structural relaxation from Alexandria. Energies are from GGA-PBE.

POSCAR file:
```
Mg2Ag5Hg
1.0
-1.486 2.039 3.457
-5.480 -0.471 -2.078
-1.225 -10.342 5.572
Mg Ag Hg
4 10 2
Direct
0.500 0.253 0.628 Mg
0.500 0.747 0.372 Mg
0.500 0.247 0.128 Mg
0.500 0.753 0.872 Mg
0.000 0.000 0.000 Ag
0.000 0.500 0.500 Ag
0.000 0.499 0.749 Ag
0.000 0.501 0.251 Ag
0.000 0.001 0.249 Ag
0.000 0.999 0.751 Ag
0.500 0.243 0.873 Ag
0.500 0.757 0.127 Ag
0.500 0.257 0.373 Ag
0.500 0.743 0.627 Ag
0.000 0.000 0.500 Hg
0.000 0.500 0.000 Hg
```

Computed properties:
- uncorrected energy (eV/atom) = -2.353
- ρ (g/cm³) = 8.81
- ΔE_f (kJ per mole of atoms) = -13.0
- D(E_F) (states/eV per cell) = 3.79
- size of the total moment (μB per atom) = 0.000



Here is Tb2Au2O7 after structural relaxation from Alexandria. Energies are from GGA-PBE.

POSCAR file:
```
Tb2Au2O7
1.0
6.443 0.000 3.720
2.148 6.074 3.720
0.000 0.000 7.439
Tb Au O
4 4 14
Direct
0.625 0.625 0.625 Tb
0.625 0.625 0.125 Tb
0.625 0.125 0.625 Tb
0.125 0.625 0.625 Tb
0.625 0.125 0.125 Au
0.125 0.625 0.125 Au
0.125 0.125 0.625 Au
0.125 0.125 0.125 Au
0.220 0.220 0.780 O
0.220 0.780 0.220 O
0.470 0.030 0.470 O
0.470 0.470 0.030 O
0.750 0.750 0.750 O
0.780 0.220 0.220 O
0.470 0.030 0.030 O
0.030 0.470 0.470 O
0.030 0.030 0.470 O
0.030 0.470 0.030 O
0.220 0.780 0.780 O
0.500 0.500 0.500 O
0.780 0.220 0.780 O
0.780 0.780 0.220 O
```

Computed properties:
- uncorrected energy (eV/atom) = -6.164
- formation energy from raw total energies (eV per atom) = -1.572
- ρ (g/cm³) = 9.40
- D(E_F) (states/eV per cell) = 13.40
- size of the total moment (μB per atom) = 0.090



Here is InNi2Br after structural relaxation from Alexandria. Energies are from GGA-PBE.

POSCAR file:
```
InNi2Br
1.0
6.212 0.002 0.005
3.993 4.759 -0.005
-4.817 -2.992 2.536
Br In Ni
1 1 2
Direct
0.555 0.555 0.000 Br
0.284 0.784 0.500 In
0.916 0.916 0.000 Ni
0.744 0.244 0.500 Ni
```

Computed properties:
- uncorrected energy (eV/atom) = -3.788
- formation energy from raw total energies (eV per atom) = 0.205
- ρ (g/cm³) = 6.92
- ΔE to the lowest computed polymorph (meV per atom) = 157.5
- D(E_F) (states/eV per cell) = 2.89
- size of the total moment (μB per atom) = 0.143



Here is ReSnPdF2 after structural relaxation from Alexandria. Energies are from GGA-PBE.

POSCAR file:
```
ReSnPdF2
1.0
-2.522 -1.356 2.736
-3.822 -0.993 -4.016
1.449 -3.655 -0.475
Re Sn Pd F
1 1 1 2
Direct
0.000 0.000 0.000 Re
0.000 0.500 0.000 Sn
0.500 0.500 0.500 Pd
0.000 0.000 0.500 F
0.500 0.000 0.000 F
```

Computed properties:
- uncorrected energy (eV/atom) = -5.551
- formation energy from raw total energies (eV per atom) = -0.474
- ρ (g/cm³) = 8.45
- D(E_F) (states/eV per cell) = 1.55
- size of the total moment (μB per atom) = 0.093



Here is Ho2NbCu after structural relaxation from Alexandria. Energies are from GGA-PBE.

POSCAR file:
```
Ho2NbCu
1.0
-2.113 2.344 0.906
-2.425 -1.590 -1.540
-1.639 -4.119 6.836
Nb Ho Cu
1 2 1
Direct
0.500 0.500 0.500 Nb
0.000 0.000 0.772 Ho
0.000 0.000 0.228 Ho
0.500 0.500 0.000 Cu
```

Computed properties:
- uncorrected energy (eV/atom) = -5.780
- ρ (g/cm³) = 9.19
- ΔE_f (kJ per mole of atoms) = 4.9
- D(E_F) (states/eV per cell) = 3.64
- size of the total moment (μB per atom) = 0.000



Here is Cd12Pd5Pt2 after structural relaxation from Alexandria. Energies are from GGA-PBE.

POSCAR file:
```
Cd12Pd5Pt2
1.0
-3.387 8.397 -1.727
-1.567 -6.367 -3.285
-5.998 -1.637 3.800
Cd Pd Pt
12 5 2
Direct
0.887 0.774 0.146 Cd
0.000 0.659 0.798 Cd
0.659 0.659 0.798 Cd
0.155 0.785 0.386 Cd
0.630 0.785 0.386 Cd
0.403 0.807 0.744 Cd
0.597 0.193 0.256 Cd
0.845 0.215 0.614 Cd
0.370 0.215 0.614 Cd
0.000 0.341 0.202 Cd
0.341 0.341 0.202 Cd
0.113 0.226 0.854 Cd
0.245 0.491 0.496 Pd
0.376 0.752 0.131 Pd
0.000 0.000 0.500 Pd
0.624 0.248 0.869 Pd
0.755 0.509 0.504 Pd
0.744 0.000 0.000 Pt
0.256 0.000 0.000 Pt
```

Computed properties:
- uncorrected energy (eV/atom) = -2.820
- ρ (g/cm³) = 10.00
- ΔE_f (kJ per mole of atoms) = -23.1
- D(E_F) (states/eV per cell) = 6.83
- size of the total moment (μB per atom) = 0.000



Here is KCa2Cr after structural relaxation from Alexandria. Energies are from GGA-PBE.

POSCAR file:
```
KCa2Cr
1.0
5.982 0.000 0.000
2.991 5.180 0.000
2.991 1.727 4.884
Ca Cr K
2 1 1
Direct
0.000 0.000 0.000 Ca
0.250 0.250 0.250 Ca
0.500 0.500 0.500 Cr
0.750 0.750 0.750 K
```

Computed properties:
- uncorrected energy (eV/atom) = -3.028
- ρ (g/cm³) = 1.88
- ΔE to the lowest computed polymorph (meV per atom) = 223.9
- ΔE_f (kJ per mole of atoms) = 63.0
- D(E_F) (states/eV per cell) = 3.45
- size of the total moment (μB per atom) = 1.182



Here is CaDy4PuS8 after structural relaxation from Alexandria. Energies are from GGA-PBE.

POSCAR file:
```
CaDy4PuS8
1.0
-7.733 2.259 0.926
-5.195 -4.836 3.923
-2.748 2.128 7.367
Ca Dy Pu S
1 4 1 8
Direct
0.376 0.376 0.872 Ca
0.624 0.624 0.127 Dy
0.002 0.494 0.502 Dy
0.494 0.002 0.502 Dy
0.002 0.002 0.502 Dy
0.001 0.001 0.998 Pu
0.243 0.781 0.732 S
0.781 0.243 0.732 S
0.243 0.243 0.732 S
0.240 0.240 0.280 S
0.753 0.229 0.265 S
0.229 0.753 0.265 S
0.753 0.753 0.265 S
0.758 0.758 0.727 S
```

Computed properties:
- uncorrected energy (eV/atom) = -6.777
- formation energy from raw total energies (eV per atom) = -1.937
- ρ (g/cm³) = 5.21
- D(E_F) (states/eV per cell) = 16.36
- size of the total moment (μB per atom) = 0.425



Here is SmHo2PaN4 after structural relaxation from Alexandria. Energies are from GGA-PBE.

POSCAR file:
```
SmHo2PaN4
1.0
3.507 0.000 0.000
0.000 6.051 0.124
0.000 -2.098 5.645
Sm Ho Pa N
1 2 1 4
Direct
0.500 0.500 0.000 Sm
0.500 0.000 0.500 Ho
0.000 0.500 0.500 Ho
0.000 0.000 0.000 Pa
0.500 0.238 0.247 N
0.500 0.762 0.753 N
0.000 0.232 0.753 N
0.000 0.768 0.247 N
```

Computed properties:
- uncorrected energy (eV/atom) = -8.748
- formation energy from raw total energies (eV per atom) = -1.663
- ρ (g/cm³) = 10.55
- D(E_F) (states/eV per cell) = 3.55
- size of the total moment (μB per atom) = 0.000



Here is Tl4PbF2 after structural relaxation from Alexandria. Energies are from GGA-PBE.

POSCAR file:
```
Tl4PbF2
1.0
5.961 0.000 0.000
0.000 5.961 0.000
2.980 2.980 7.547
Pb Tl F
1 4 2
Direct
0.000 0.000 0.000 Pb
0.745 0.745 0.510 Tl
0.255 0.255 0.490 Tl
0.000 0.500 0.000 Tl
0.500 0.000 0.000 Tl
0.595 0.595 0.810 F
0.405 0.405 0.190 F
```

Computed properties:
- uncorrected energy (eV/atom) = -3.000
- formation energy from raw total energies (eV per atom) = -0.584
- ρ (g/cm³) = 6.58
- D(E_F) (states/eV per cell) = 4.72
- size of the total moment (μB per atom) = 0.000



Here is LiTm2Zn16 after structural relaxation from Alexandria. Energies are from GGA-PBE.

POSCAR file:
```
LiTm2Zn16
1.0
6.717 0.044 0.806
0.720 6.678 0.806
0.049 0.044 6.765
Li Tm Zn
1 2 16
Direct
0.907 0.907 0.907 Li
0.663 0.663 0.663 Tm
0.338 0.338 0.338 Tm
0.702 0.999 0.296 Zn
0.999 0.296 0.702 Zn
0.296 0.702 0.999 Zn
0.999 0.702 0.296 Zn
0.702 0.296 0.999 Zn
0.296 0.999 0.702 Zn
0.354 0.835 0.354 Zn
0.835 0.354 0.354 Zn
0.354 0.354 0.835 Zn
0.647 0.156 0.647 Zn
0.156 0.647 0.647 Zn
0.647 0.647 0.156 Zn
0.997 0.504 0.997 Zn
0.504 0.997 0.997 Zn
0.997 0.997 0.504 Zn
0.108 0.108 0.108 Zn
```

Computed properties:
- uncorrected energy (eV/atom) = -1.871
- ρ (g/cm³) = 7.63
- ΔE_f (kJ per mole of atoms) = -21.8
- D(E_F) (states/eV per cell) = 4.80
- size of the total moment (μB per atom) = 0.000



Here is BaNa2Zr4 after structural relaxation from Alexandria. Energies are from GGA-PBE.

POSCAR file:
```
BaNa2Zr4
1.0
-1.072 -2.471 -4.562
4.687 -2.459 0.230
-1.489 -8.376 1.810
Na Ba Zr
2 1 4
Direct
0.626 0.626 0.747 Na
0.374 0.374 0.253 Na
0.000 0.000 0.000 Ba
0.825 0.825 0.351 Zr
0.175 0.175 0.649 Zr
0.000 0.500 0.000 Zr
0.500 0.000 0.000 Zr
```

Computed properties:
- uncorrected energy (eV/atom) = -3.845
- ρ (g/cm³) = 4.13
- ΔE_f (kJ per mole of atoms) = 163.2
- D(E_F) (states/eV per cell) = 10.61
- size of the total moment (μB per atom) = 0.000



Here is CeGaAg after structural relaxation from Alexandria. Energies are from GGA-PBE.

POSCAR file:
```
CeGaAg
1.0
5.850 0.066 -0.057
-0.353 5.840 0.057
-1.508 -4.107 3.884
Ce Ga Ag
2 2 2
Direct
0.059 0.059 0.000 Ce
0.512 0.012 0.500 Ce
0.499 0.702 0.798 Ga
0.904 0.702 0.202 Ga
0.092 0.370 0.722 Ag
0.648 0.370 0.278 Ag
```

Computed properties:
- uncorrected energy (eV/atom) = -4.341
- ρ (g/cm³) = 7.90
- ΔE_f (kJ per mole of atoms) = -38.9
- D(E_F) (states/eV per cell) = 11.71
- size of the total moment (μB per atom) = 0.322



Here is Tb2Sm3Ni2 after structural relaxation from Alexandria. Energies are from GGA-PBE.

POSCAR file:
```
Tb2Sm3Ni2
1.0
3.604 -0.001 -0.808
-2.221 5.746 -1.469
0.056 0.422 8.686
Tb Sm Ni
2 3 2
Direct
0.641 0.473 0.809 Tb
0.359 0.527 0.191 Tb
0.500 0.000 0.000 Sm
0.184 0.800 0.570 Sm
0.816 0.200 0.430 Sm
0.062 0.892 0.232 Ni
0.938 0.108 0.768 Ni
```

Computed properties:
- uncorrected energy (eV/atom) = -5.206
- ρ (g/cm³) = 8.04
- ΔE_f (kJ per mole of atoms) = -20.2
- D(E_F) (states/eV per cell) = 9.59
- size of the total moment (μB per atom) = 0.000



Here is KSiTc2 after structural relaxation from Alexandria. Energies are from GGA-PBE.

POSCAR file:
```
KSiTc2
1.0
5.972 0.006 0.000
2.995 5.167 0.000
-3.620 -4.083 2.427
K Si Tc
1 1 2
Direct
0.498 0.498 0.000 K
0.207 0.707 0.500 Si
0.002 0.002 0.000 Tc
0.793 0.293 0.500 Tc
```

Computed properties:
- uncorrected energy (eV/atom) = -5.839
- formation energy from raw total energies (eV per atom) = 0.974
- ρ (g/cm³) = 5.84
- D(E_F) (states/eV per cell) = 4.45
- size of the total moment (μB per atom) = 0.000



Here is YTl2Cl after structural relaxation from Alexandria. Energies are from GGA-PBE.

POSCAR file:
```
YTl2Cl
1.0
6.676 0.004 0.049
5.759 3.377 0.049
2.390 0.650 5.118
Cl Tl Y
1 2 1
Direct
0.205 0.205 0.296 Cl
0.991 0.991 0.009 Tl
0.776 0.776 0.724 Tl
0.528 0.528 0.471 Y
```

Computed properties:
- uncorrected energy (eV/atom) = -3.905
- formation energy from raw total energies (eV per atom) = -0.644
- ρ (g/cm³) = 7.71
- ΔE to the lowest computed polymorph (meV per atom) = 100.6
- D(E_F) (states/eV per cell) = 2.45
- size of the total moment (μB per atom) = 0.000